The following is a GGA-PBE calculation of a relaxed structure of CaErBr6, from Alexandria.

Cell: 7.196 7.140 7.888 Å, 58.24 59.20 59.23°
Fractional positions:
Er 0.500 0.500 0.500
Br 0.706 0.086 0.786
Br 0.076 0.445 0.732
Br 0.601 0.242 0.277
Br 0.924 0.555 0.268
Br 0.399 0.758 0.723
Br 0.294 0.914 0.214
Ca 0.000 0.000 0.000

Values from the calculation:
Its uncorrected formation energy is -149.4 kJ per mole of atoms.



The following is a GGA-PBE calculation of a relaxed structure of Tb4ThCd5, from Alexandria.

Cell: 3.744 3.744 19.176 Å, 90.00 90.00 90.00°
Fractional positions:
Tb 0.000 0.000 0.796
Tb 0.000 0.000 0.599
Tb 0.000 0.000 0.204
Tb 0.000 0.000 0.401
Th 0.000 0.000 0.000
Cd 0.500 0.500 0.698
Cd 0.500 0.500 0.302
Cd 0.500 0.500 0.500
Cd 0.500 0.500 0.109
Cd 0.500 0.500 0.891

Values from the calculation:
As for the formation energy from the elements: -0.26 eV per atom.



The following is a GGA-PBE calculation of a relaxed structure of Mg6FeNi, from Alexandria.

Cell: 5.971 5.971 4.696 Å, 90.00 90.00 120.00°
Fractional positions:
Mg 0.493 0.985 0.000
Mg 0.015 0.507 0.000
Mg 0.319 0.160 0.500
Mg 0.840 0.160 0.500
Mg 0.840 0.681 0.500
Mg 0.493 0.507 0.000
Ni 0.333 0.667 0.500
Fe 0.000 0.000 0.000

Values from the calculation:
For the polymorph energy (0 for the lowest one), the calculation gives 0 meV/atom. As for the formation energy from the elements: 0.11 eV per atom.



The following is a GGA-PBE calculation of a relaxed structure of ZrRh, from Alexandria.

Cell: 8.737 8.737 8.737 Å, 21.45 21.45 21.45°
Fractional positions:
Zr 0.511 0.511 0.511
Zr 0.739 0.739 0.739
Rh 0.249 0.249 0.249
Rh 0.001 0.001 0.001

Values from the calculation:
As for the formation energy from the elements: -0.15 eV per atom.



The following is a GGA-PBE calculation of a relaxed structure of Hf6Pt2C, from Alexandria.

Cell: 6.004 6.431 9.029 Å, 90.00 91.89 90.00°
Fractional positions:
Hf 0.315 0.803 0.050
Hf 0.195 0.309 0.052
Hf 0.695 0.191 0.552
Hf 0.685 0.197 0.950
Hf 0.185 0.303 0.450
Hf 0.115 0.013 0.743
Hf 0.385 0.513 0.757
Hf 0.615 0.487 0.243
Hf 0.805 0.691 0.948
Hf 0.815 0.697 0.550
Hf 0.305 0.809 0.448
Hf 0.885 0.987 0.257
Pt 0.951 0.410 0.756
Pt 0.049 0.590 0.244
Pt 0.451 0.090 0.256
Pt 0.549 0.910 0.744
C 0.000 0.000 0.500
C 0.500 0.500 0.000

Values from the calculation:
As for the formation energy from the elements: -0.70 eV per atom.



The following is a GGA-PBE calculation of a relaxed structure of HgBO2, from Alexandria.

Cell: 6.636 6.636 6.636 Å, 28.45 28.45 28.45°
Fractional positions:
B 0.000 0.000 0.000
O 0.066 0.066 0.066
O 0.934 0.934 0.934
Hg 0.500 0.500 0.500

Values from the calculation:
For the polymorph energy (0 for the lowest one), the calculation gives 63 meV/atom. Its uncorrected formation energy is -105.9 kJ per mole of atoms.



The following is a GGA-PBE calculation of a relaxed structure of SrMnV3, from Alexandria.

Cell: 4.639 4.639 4.639 Å, 90.00 90.00 90.00°
Fractional positions:
V 0.500 0.000 0.000
V 0.000 0.000 0.500
V 0.000 0.500 0.000
Sr 0.500 0.500 0.500
Mn 0.000 0.000 0.000

Values from the calculation:
For the polymorph energy (0 for the lowest one), the calculation gives 0 meV/atom. As for the formation energy from the elements: 0.74 eV per atom.



The following is a GGA-PBE calculation of a relaxed structure of Pm2Dy2HoMg2, from Alexandria.

Cell: 5.477 5.477 8.663 Å, 71.57 71.57 60.00°
Fractional positions:
Mg 0.710 0.710 0.871
Mg 0.290 0.290 0.129
Pm 0.844 0.844 0.467
Pm 0.156 0.156 0.533
Dy 0.426 0.426 0.722
Dy 0.574 0.574 0.278
Ho 0.000 0.000 0.000

Values from the calculation:
As for the formation energy from the elements: -0.01 eV per atom.



The following is a GGA-PBE calculation of a relaxed structure of Na3TiAl, from Alexandria.

Cell: 5.790 5.790 5.790 Å, 90.00 90.00 90.00°
Fractional positions:
Na 0.000 0.000 0.500
Na 0.500 0.000 0.000
Na 0.000 0.500 0.000
Ti 0.000 0.000 0.000
Al 0.500 0.500 0.500

Values from the calculation:
For the polymorph energy (0 for the lowest one), the calculation gives 111 meV/atom. As for the formation energy from the elements: 1.25 eV per atom.



The following is a GGA-PBE calculation of a relaxed structure of AlNiC, from Alexandria.

Cell: 11.543 3.690 3.183 Å, 90.00 90.00 90.00°
Fractional positions:
C 0.441 0.000 0.500
C 0.559 0.000 0.500
C 0.059 0.500 0.500
C 0.941 0.500 0.500
Ni 0.669 0.000 0.000
Ni 0.331 0.000 0.000
Ni 0.169 0.500 0.000
Ni 0.831 0.500 0.000
Al 0.345 0.500 0.500
Al 0.845 0.000 0.500
Al 0.155 0.000 0.500
Al 0.655 0.500 0.500

Values from the calculation:
For the polymorph energy (0 for the lowest one), the calculation gives 10 meV/atom. As for the formation energy from the elements: 0.07 eV per atom.



The following is a GGA-PBE calculation of a relaxed structure of CeY3Tm12, from Alexandria.

Cell: 4.960 4.960 19.829 Å, 90.00 90.00 90.00°
Fractional positions:
Tm 0.500 0.000 0.123
Tm 0.500 0.500 0.000
Tm 0.500 0.000 0.877
Tm 0.500 0.500 0.749
Tm 0.500 0.500 0.500
Tm 0.500 0.500 0.251
Tm 0.000 0.500 0.877
Tm 0.500 0.000 0.375
Tm 0.000 0.500 0.375
Tm 0.500 0.000 0.625
Tm 0.000 0.500 0.123
Tm 0.000 0.500 0.625
Y 0.000 0.000 0.248
Y 0.000 0.000 0.500
Y 0.000 0.000 0.752
Ce 0.000 0.000 0.000

Values from the calculation:
As for the formation energy from the elements: 0.04 eV per atom.



The following is a GGA-PBE calculation of a relaxed structure of NaTm5Tl8, from Alexandria.

Cell: 7.971 7.971 7.971 Å, 109.23 109.95 109.23°
Fractional positions:
Tl 0.160 0.789 0.584
Tl 0.250 0.228 0.350
Tl 0.123 0.772 0.023
Tl 0.629 0.424 0.840
Tl 0.650 0.900 0.877
Tl 0.977 0.100 0.750
Tl 0.795 0.211 0.371
Tl 0.416 0.576 0.205
Tm 0.431 0.169 0.022
Tm 0.852 0.831 0.262
Tm 0.978 0.409 0.148
Tm 0.500 0.000 0.500
Tm 0.738 0.591 0.569
Na 0.250 0.500 0.750

Values from the calculation:
As for the formation energy from the elements: -0.16 eV per atom.



The following is a GGA-PBE calculation of a relaxed structure of AcTb2Sm6Dy, from Alexandria.

Cell: 9.692 9.029 9.029 Å, 117.87 92.93 92.93°
Fractional positions:
Sm 0.445 0.249 0.872
Sm 0.055 0.128 0.751
Sm 0.118 0.711 0.493
Sm 0.555 0.751 0.128
Sm 0.382 0.507 0.289
Sm 0.316 0.987 0.442
Sm 0.184 0.558 0.013
Sm 0.882 0.289 0.507
Sm 0.618 0.493 0.711
Sm 0.945 0.872 0.249
Sm 0.816 0.442 0.987
Sm 0.684 0.013 0.558
Tb 0.547 0.203 0.316
Tb 0.047 0.316 0.203
Tb 0.953 0.684 0.797
Tb 0.453 0.797 0.684
Dy 0.250 0.412 0.588
Dy 0.750 0.588 0.412
Ac 0.750 0.027 0.973
Ac 0.250 0.973 0.027

Values from the calculation:
As for the formation energy from the elements: 0.12 eV per atom.



The following is a GGA-PBE calculation of a relaxed structure of CsMg2As2, from Alexandria.

Cell: 8.921 8.921 3.315 Å, 90.00 90.00 90.00°
Fractional positions:
As 0.148 0.352 0.000
As 0.648 0.148 0.000
As 0.352 0.852 0.000
As 0.852 0.648 0.000
Cs 0.500 0.500 0.000
Cs 0.000 0.000 0.000
Mg 0.377 0.123 0.500
Mg 0.877 0.377 0.500
Mg 0.623 0.877 0.500
Mg 0.123 0.623 0.500

Values from the calculation:
As for the formation energy from the elements: -0.19 eV per atom.



The following is a GGA-PBE calculation of a relaxed structure of Nd2Y5Co2, from Alexandria.

Cell: 7.103 7.073 10.597 Å, 90.00 70.42 90.00°
Fractional positions:
Co 0.889 0.609 0.000
Co 0.389 0.891 0.000
Co 0.611 0.109 0.000
Co 0.111 0.391 0.000
Y 0.000 0.000 0.000
Y 0.500 0.500 0.000
Y 0.424 0.177 0.791
Y 0.785 0.823 0.791
Y 0.076 0.677 0.209
Y 0.285 0.677 0.791
Y 0.924 0.323 0.791
Y 0.576 0.823 0.209
Y 0.715 0.323 0.209
Y 0.215 0.177 0.209
Nd 0.231 0.000 0.537
Nd 0.731 0.500 0.537
Nd 0.269 0.500 0.463
Nd 0.769 0.000 0.463

Values from the calculation:
As for the formation energy from the elements: -0.06 eV per atom.



The following is a GGA-PBE calculation of a relaxed structure of Dy3HoTe2, from Alexandria.

Cell: 3.906 13.763 10.231 Å, 138.43 90.00 98.16°
Fractional positions:
Dy 0.357 0.713 0.172
Dy 0.643 0.287 0.828
Dy 0.016 0.033 0.382
Dy 0.984 0.967 0.618
Dy 0.392 0.785 0.664
Dy 0.608 0.215 0.336
Te 0.567 0.134 0.966
Te 0.433 0.866 0.034
Te 0.800 0.600 0.287
Te 0.200 0.400 0.713
Ho 0.200 0.400 0.259
Ho 0.800 0.600 0.741

Values from the calculation:
Its uncorrected formation energy is -73.6 kJ per mole of atoms.



The following is a GGA-PBE calculation of a relaxed structure of Mg6AsAu12, from Alexandria.

Cell: 7.076 7.076 7.076 Å, 91.81 91.81 91.81°
Fractional positions:
Au 0.975 0.849 0.631
Au 0.369 0.025 0.151
Au 0.431 0.798 0.538
Au 0.798 0.538 0.431
Au 0.538 0.431 0.798
Au 0.025 0.151 0.369
Au 0.151 0.369 0.025
Au 0.631 0.975 0.849
Au 0.849 0.631 0.975
Au 0.462 0.569 0.202
Au 0.202 0.462 0.569
Au 0.569 0.202 0.462
Mg 0.884 0.282 0.713
Mg 0.713 0.884 0.282
Mg 0.282 0.713 0.884
Mg 0.116 0.718 0.287
Mg 0.718 0.287 0.116
Mg 0.287 0.116 0.718
As 0.000 0.000 0.000

Values from the calculation:
As for the formation energy from the elements: -0.36 eV per atom.



The following is a GGA-PBE calculation of a relaxed structure of Sm2ErCo6, from Alexandria.

Cell: 4.099 6.690 6.690 Å, 120.00 90.00 90.00°
Fractional positions:
Co 0.500 0.668 0.668
Co 0.500 0.000 0.668
Co 0.500 0.332 0.000
Co 0.500 0.332 0.332
Co 0.500 0.000 0.332
Co 0.500 0.668 0.000
Sm 0.000 0.667 0.333
Sm 0.000 0.333 0.667
Er 0.000 0.000 0.000

Values from the calculation:
As for the formation energy from the elements: -0.14 eV per atom.



The following is a GGA-PBE calculation of a relaxed structure of Na2CuP2, from Alexandria.

Cell: 6.168 6.168 4.687 Å, 90.00 90.00 90.00°
Fractional positions:
Cu 0.000 0.000 0.000
Cu 0.500 0.500 0.000
Na 0.675 0.825 0.500
Na 0.825 0.325 0.500
Na 0.175 0.675 0.500
Na 0.325 0.175 0.500
P 0.371 0.871 0.000
P 0.129 0.371 0.000
P 0.871 0.629 0.000
P 0.629 0.129 0.000

Values from the calculation:
For the polymorph energy (0 for the lowest one), the calculation gives 0 meV/atom. As for the formation energy from the elements: -0.26 eV per atom.



The following is a GGA-PBE calculation of a relaxed structure of Zn5Cu2Ni5, from Alexandria.

Cell: 3.545 7.756 5.877 Å, 98.89 72.44 76.79°
Fractional positions:
Zn 0.001 0.751 0.248
Zn 0.332 0.748 0.589
Zn 0.668 0.252 0.411
Zn 0.000 0.000 0.000
Zn 0.999 0.249 0.752
Cu 0.669 0.499 0.164
Cu 0.331 0.501 0.836
Ni 0.000 0.500 0.500
Ni 0.335 0.999 0.331
Ni 0.332 0.250 0.085
Ni 0.665 0.001 0.669
Ni 0.668 0.750 0.915

Values from the calculation:
As for the formation energy from the elements: -0.15 eV per atom.